DFT (PBE-GGA) results for a geometry-optimized SrScTe structure.

Cell and atoms, written as CIF:
```
data_SrScTe
_chemical_formula_sum 'Sr1 Sc1 Te1'
_space_group_name_H-M_alt 'P 1'
_space_group_IT_number 1
_cell_length_a 6.9105
_cell_length_b 6.9102
_cell_length_c 3.8648
_cell_angle_alpha 73.77
_cell_angle_beta 73.76
_cell_angle_gamma 32.48
loop_
_space_group_symop_operation_xyz
'x,y,z'
loop_
_atom_site_label
_atom_site_type_symbol
_atom_site_fract_x
_atom_site_fract_y
_atom_site_fract_z
_atom_site_occupancy
Sc1 Sc 0.0338 0.0338 0.9662 1
Sr1 Sr 0.3296 0.3296 0.6704 1
Te1 Te 0.6366 0.6366 0.3634 1
```

Output
Final energy, eV per atom: -4.4134
SG: I4mm
Mass density, g/cm³: 4.56